Entry from the Alexandria database: a relaxed Tl2InF crystal (PBE).

The space group is R-3m (No. 166, hexagonal axes) and the conventional cell measures 3.4167, 3.4167 and 31.8300 Å, with angles of 90.00, 90.00 and 120.00 degrees. The inequivalent atoms are Tl at (0.0000, 0.0000, 0.1065), In at (0.0000, 0.0000, 0.0000) and F at (0.0000, 0.0000, 0.5000).

The offset from the most stable computed form comes out at 5 meV per atom. The formation energy from raw total energies is -0.6916 eV/atom.